5
Lattice="5.2917 0.0000 0.0000 0.0000 5.2917 0.0000 0.0000 0.0000 3.6749" Properties=species:S:1:pos:R:3 comment="La2MnGaN, relaxed, DFT PBE" m_tot_mub_per_atom=0.007 formation_energy_uncorrected_ev_per_atom=-0.6486 pbc="T T T"
La 0.0000 2.6458 0.0000
La 2.6458 0.0000 0.0000
Mn 0.0000 0.0000 1.8375
Ga 2.6458 2.6458 1.8375
N 0.0000 0.0000 0.0000